Entry 1:
The following is a PBE calculation of an optimized crystal structure of USb2Au, from Alexandria.

a = 4.4022 Å, b = 4.4022 Å, c = 9.8955 Å
α = 90.00°, β = 90.00°, γ = 90.00°
Closest atoms and distances in Å follow each position.
Space group P4/nmm (No. 129, origin choice 2)
One atom of each set of equivalent atoms:
U1 0.2500 0.2500 0.2458 x2  8 Sb 3.16-3.28, 4 Au 3.34
Sb1 0.2500 0.2500 0.6969 x2  4 Au 2.94, 4 U 3.16
Sb2 0.2500 0.7500 0.0000 x2  4 Sb 3.11, 4 U 3.28
Au1 0.2500 0.7500 0.5000 x2  4 Sb 2.94, 4 Au 3.11

Computed properties:
For the excess energy over the best structure of this formula in the dataset, the calculation gives 0 meV/atom. The crystal system is tetragonal.


Entry 2:
The following is a PBE calculation of an optimized crystal structure of U2SbAu, from Alexandria.

a = 4.1152 Å, b = 4.1152 Å, c = 5.1120 Å
α = 90.00°, β = 90.00°, γ = 90.00°
Closest atoms and distances in Å follow each position.
Space group P4/mmm (No. 123)
One atom of each set of equivalent atoms:
U1 0.0000 0.5000 0.0000 x2  4 U 2.91
Sb1 0.0000 0.0000 0.5000 x1  4 Au 2.91
Au1 0.5000 0.5000 0.5000 x1  4 Sb 2.91

Computed properties:
Its electronic total energy is -7.57 eV/atom. The crystal system is tetragonal.


Entry 3:
The following is a PBE calculation of an optimized crystal structure of USb2Au2, from Alexandria.

a = 4.3184 Å, b = 23.6848 Å, c = 4.4397 Å
α = 90.00°, β = 90.00°, γ = 90.00°
Closest atoms and distances in Å follow each position.
Space group Cmcm (No. 63)
One atom of each set of equivalent atoms:
U1 0.0000 0.1469 0.2500 x4  8 Sb 3.14-3.29, 4 Au 3.28-3.33
Sb1 0.0000 0.2497 0.7500 x4  4 Sb 3.10, 4 U 3.26-3.29
Sb2 0.0000 0.3758 0.2500 x4  4 Au 2.90-2.94, 4 U 3.14
Au1 0.0000 0.0423 0.7500 x4  2 Sb 2.90, 8 Au 2.95-3.10
Au2 0.0000 0.4575 0.7500 x4  2 Sb 2.94, 8 Au 2.95-3.10, 2 U 3.28

Computed properties:
Its electronic total energy is -5.43 eV/atom. The crystal system is orthorhombic.